# 1
# NaSmVO4 GGA+U relaxed
data_NaSmVO4
_space_group_name_H-M_alt 'P 1 21/m 1'
_space_group_IT_number 11
_cell_length_a 5.9435
_cell_length_b 6.2247
_cell_length_c 6.8325
_cell_angle_alpha 90.00
_cell_angle_beta 114.87
_cell_angle_gamma 90.00
loop_
_space_group_symop_operation_xyz
'x,y,z'
'-x,-y,-z'
'-x,y+1/2,-z'
'x,-y+1/2,z'
loop_
_atom_site_label
_atom_site_type_symbol
_atom_site_fract_x
_atom_site_fract_y
_atom_site_fract_z
_atom_site_occupancy
Na1 Na 0.1618 0.2500 0.4592 1
Sm1 Sm 0.3298 0.2500 0.9851 1
V1 V 0.2397 0.7500 0.1789 1
O1 O 0.0167 0.7500 0.9095 1
O2 O 0.0584 0.7500 0.3297 1
O3 O 0.4828 0.5400 0.2053 1
# Total magnetic moment (μB per formula unit): 1.00
# Final energy (eV per atom): -7.122

# 2
# NaSmV2O8 GGA+U relaxed
data_NaSmV2O8
_space_group_name_H-M_alt 'P -3 m 1'
_space_group_IT_number 164
_space_group_name_Hall '-P 3 2"'
_cell_length_a 5.9028
_cell_length_b 5.9028
_cell_length_c 6.9096
_cell_angle_alpha 90.00
_cell_angle_beta 90.00
_cell_angle_gamma 120.00
loop_
_atom_site_label
_atom_site_type_symbol
_atom_site_fract_x
_atom_site_fract_y
_atom_site_fract_z
_atom_site_occupancy
Na1 Na 0.0000 0.0000 0.0000 1
Sm1 Sm 0.0000 0.0000 0.5000 1
V1 V 0.3333 0.6667 0.1989 1
O1 O 0.1710 0.3421 0.2794 1
O2 O 0.3333 0.6667 0.9514 1
# Total magnetic moment (μB per formula unit): 2.02
# D(E_F) (states/eV/atom): 0.975
# Final energy (eV per atom): -6.933

# 3
# Na2SmVO4 GGA+U relaxed
data_Na2SmVO4
_space_group_name_H-M_alt 'P 1 2/m 1'
_space_group_IT_number 10
_cell_length_a 5.6881
_cell_length_b 3.3439
_cell_length_c 5.8556
_cell_angle_alpha 90.00
_cell_angle_beta 109.17
_cell_angle_gamma 90.00
loop_
_space_group_symop_operation_xyz
'x,y,z'
'-x,-y,-z'
'-x,y,-z'
'x,-y,z'
loop_
_atom_site_label
_atom_site_type_symbol
_atom_site_fract_x
_atom_site_fract_y
_atom_site_fract_z
_atom_site_occupancy
Na1 Na 0.0000 0.0000 0.0000 1
Na2 Na 0.5000 0.5000 0.0000 1
Sm1 Sm 0.0000 0.5000 0.5000 1
V1 V 0.5000 0.0000 0.5000 1
O1 O 0.2662 0.0000 0.7093 1
O2 O 0.2854 0.5000 0.2932 1
# Total magnetic moment (μB per formula unit): 2.00
# Final energy (eV per atom): -6.572

# 4
# Na2SmWO6 GGA+U relaxed
data_Na2SmWO6
_space_group_name_H-M_alt 'P 1 21/c 1'
_space_group_IT_number 14
_cell_length_a 5.7461
_cell_length_b 5.9103
_cell_length_c 10.0358
_cell_angle_alpha 90.00
_cell_angle_beta 124.90
_cell_angle_gamma 90.00
loop_
_space_group_symop_operation_xyz
'x,y,z'
'-x,-y,-z'
'-x,y+1/2,-z+1/2'
'x,-y+1/2,z+1/2'
loop_
_atom_site_label
_atom_site_type_symbol
_atom_site_fract_x
_atom_site_fract_y
_atom_site_fract_z
_atom_site_occupancy
Na1 Na 0.2455 0.0356 0.2540 1
Sm1 Sm 0.5000 0.0000 0.0000 1
W1 W 0.0000 0.0000 0.5000 1
O1 O 0.1225 0.2281 0.9453 1
O2 O 0.2306 0.6826 0.9560 1
O3 O 0.3208 0.0349 0.7263 1
# Total magnetic moment (μB per formula unit): 1.07
# D(E_F) (states/eV/atom): 0.733
# Final energy (eV per atom): -6.608

# 5
# NaSmWO5 GGA+U relaxed
data_NaSmWO5
_space_group_name_H-M_alt 'C 1 2/c 1'
_space_group_IT_number 15
_cell_length_a 7.1571
_cell_length_b 10.6871
_cell_length_c 8.1979
_cell_angle_alpha 90.00
_cell_angle_beta 113.24
_cell_angle_gamma 90.00
loop_
_space_group_symop_operation_xyz
'x,y,z'
'-x,-y,-z'
'-x,y,-z+1/2'
'x,-y,z+1/2'
'x+1/2,y+1/2,z'
'-x+1/2,-y+1/2,-z'
'-x+1/2,y+1/2,-z+1/2'
'x+1/2,-y+1/2,z+1/2'
loop_
_atom_site_label
_atom_site_type_symbol
_atom_site_fract_x
_atom_site_fract_y
_atom_site_fract_z
_atom_site_occupancy
Na1 Na 0.0000 0.2148 0.2500 1
Sm1 Sm 0.0000 0.5000 0.0000 1
W1 W 0.0000 0.2005 0.7500 1
O1 O 0.0000 0.4207 0.2500 1
O2 O 0.1344 0.3008 0.6513 1
O3 O 0.1747 0.1019 0.9230 1
# Total magnetic moment (μB per formula unit): 0.00
# D(E_F) (states/eV/atom): 0.000
# Final energy (eV per atom): -7.104

# 6
# Na2SmW3O12 GGA+U relaxed
data_Na2SmW3O12
_space_group_name_H-M_alt 'R -3 m'
_space_group_IT_number 166
_space_group_name_Hall '-R 3 2"'
_cell_length_a 7.5293
_cell_length_b 7.5293
_cell_length_c 19.1513
_cell_angle_alpha 90.00
_cell_angle_beta 90.00
_cell_angle_gamma 120.00
loop_
_atom_site_label
_atom_site_type_symbol
_atom_site_fract_x
_atom_site_fract_y
_atom_site_fract_z
_atom_site_occupancy
Na1 Na 0.0000 0.0000 0.1984 1
Sm1 Sm 0.0000 0.0000 0.5000 1
W1 W 0.0000 0.5000 0.0000 1
O1 O 0.0309 0.5154 0.0993 1
O2 O 0.0931 0.5466 0.3420 1
# Total magnetic moment (μB per formula unit): 0.91
# D(E_F) (states/eV/atom): 0.584
# Final energy (eV per atom): -6.992

# 7
# NaSmW2O8 GGA+U relaxed
data_NaSmW2O8
_space_group_name_H-M_alt 'I -4 m 2'
_space_group_IT_number 119
_space_group_name_Hall 'I -4 -2'
_cell_length_a 7.5301
_cell_length_b 7.5301
_cell_length_c 6.7116
_cell_angle_alpha 90.00
_cell_angle_beta 90.00
_cell_angle_gamma 90.00
loop_
_atom_site_label
_atom_site_type_symbol
_atom_site_fract_x
_atom_site_fract_y
_atom_site_fract_z
_atom_site_occupancy
Na1 Na 0.0000 0.0000 0.0000 1
Sm1 Sm 0.0000 0.5000 0.7500 1
W1 W 0.0000 0.0000 0.5000 1
W2 W 0.0000 0.5000 0.2500 1
O1 O 0.0000 0.1953 0.6579 1
O2 O 0.0000 0.3155 0.0752 1
# Total magnetic moment (μB per formula unit): 0.00
# D(E_F) (states/eV/atom): 0.000
# Final energy (eV per atom): -7.323

# 8
# NaSm2WO6 GGA+U relaxed
data_NaSm2WO6
_space_group_name_H-M_alt 'P 1'
_space_group_IT_number 1
_cell_length_a 5.7515
_cell_length_b 5.7864
_cell_length_c 5.9961
_cell_angle_alpha 91.19
_cell_angle_beta 117.71
_cell_angle_gamma 119.71
loop_
_space_group_symop_operation_xyz
'x,y,z'
loop_
_atom_site_label
_atom_site_type_symbol
_atom_site_fract_x
_atom_site_fract_y
_atom_site_fract_z
_atom_site_occupancy
Na1 Na 0.0000 0.0000 0.0000 1
Sm1 Sm 0.5417 0.2697 0.8195 1
Sm2 Sm 0.5637 0.7869 0.3355 1
W1 W 0.9711 0.4837 0.4516 1
O1 O 0.0661 0.3952 0.1948 1
O2 O 0.0696 0.2303 0.6541 1
O3 O 0.4322 0.8359 0.6551 1
O4 O 0.5186 0.1246 0.1807 1
O5 O 0.8055 0.6739 0.1910 1
O6 O 0.8262 0.5826 0.6490 1
# Total magnetic moment (μB per formula unit): 1.00
# D(E_F) (states/eV/atom): 0.000
# Final energy (eV per atom): -7.487

Q: What is the final energy in the first record?
A: -7.122 eV per atom